Below is a relaxed structure of PmPrCd6, with properties calculated at the GGA-PBE level.

Summary:
energy of formation from the pure elements = -238 kJ/mol of formula units
crystal system = orthorhombic
Fermi-level density of states = 5.073 states/eV per cell

a b c (Å): 4.990 6.737 6.737
angles (deg): 117.24 90.00 90.00
Fractional coordinates of all 8 atoms:
Pm  0.000  0.099  0.901
Cd  0.500  0.918  0.082
Cd  0.500  0.886  0.561
Cd  0.000  0.615  0.943
Cd  0.000  0.584  0.416
Cd  0.000  0.057  0.385
Cd  0.500  0.439  0.114
Pr  0.500  0.401  0.599


Below is a relaxed structure of PmPrCd, with properties calculated at the GGA-PBE level.

Summary:
energy of formation from the pure elements = -26 kJ/mol of formula units
crystal system = trigonal
Fermi-level density of states = 3.720 states/eV per cell

a b c (Å): 3.666 5.365 5.365
angles (deg): 120.00 90.00 90.00
Fractional coordinates of all 3 atoms:
Cd  0.677  0.667  0.333
Pr  0.370  0.333  0.667
Pm  0.953  0.000  0.000


Below is a relaxed structure of Pm4Pr3Cd2, with properties calculated at the GGA-PBE level.

Summary:
energy of formation from the pure elements = -63 kJ/mol of formula units
crystal system = monoclinic
Fermi-level density of states = 11.241 states/eV per cell

a b c (Å): 5.057 7.898 8.046
angles (deg): 107.95 108.32 90.00
Fractional coordinates of all 9 atoms:
Pm  0.556  0.332  0.113
Pr  0.885  0.326  0.769
Cd  0.336  0.000  0.672
Pr  0.115  0.674  0.231
Pm  0.778  0.688  0.555
Pm  0.222  0.312  0.445
Pm  0.444  0.668  0.887
Cd  0.664  0.000  0.328
Pr  0.000  0.000  0.000


Below is a relaxed structure of PmPrCd2, with properties calculated at the GGA-PBE level.

Summary:
energy of formation from the pure elements = -123 kJ/mol of formula units
crystal system = tetragonal
Fermi-level density of states = 4.593 states/eV per cell

a b c (Å): 3.875 5.442 5.442
angles (deg): 90.00 90.00 90.00
Site moments in Bohr magnetons follow the coordinates.
Fractional coordinates of all 4 atoms:
Pm  0.500  0.500  0.500  0.18
Cd  0.000  0.000  0.500  0.01
Pr  0.500  0.000  0.000  0.18
Cd  0.000  0.500  0.000  0.01


Below is a relaxed structure of Pm6PrCd, with properties calculated at the GGA-PBE level.

Summary:
energy of formation from the pure elements = -26 kJ/mol of formula units
crystal system = tetragonal
Fermi-level density of states = 11.268 states/eV per cell

a b c (Å): 5.015 5.015 10.988
angles (deg): 76.81 76.81 90.00
Fractional coordinates of all 8 atoms:
Pm  0.877  0.377  0.246
Pm  0.377  0.877  0.246
Pr  0.500  0.500  0.000
Pm  0.748  0.748  0.505
Pm  0.623  0.123  0.754
Cd  0.000  0.000  0.000
Pm  0.252  0.252  0.495
Pm  0.123  0.623  0.754


Below is a relaxed structure of PmPr7Cd2, with properties calculated at the GGA-PBE level.

Summary:
energy of formation from the pure elements = 344 kJ/mol of formula units
crystal system = orthorhombic
Fermi-level density of states = 17.617 states/eV per cell

a b c (Å): 5.450 9.332 9.332
angles (deg): 120.79 90.00 90.00
Fractional coordinates of all 10 atoms:
Pr  0.500  0.065  0.302
Pr  0.500  0.302  0.065
Pr  0.500  0.500  0.500
Pr  0.000  0.225  0.775
Pr  0.000  0.775  0.225
Pm  0.000  0.000  0.000
Cd  0.500  0.304  0.696
Pr  0.500  0.935  0.698
Cd  0.500  0.696  0.304
Pr  0.500  0.698  0.935


Below is a relaxed structure of PmPrCd, with properties calculated at the GGA-PBE level.

Summary:
energy of formation from the pure elements = -58 kJ/mol of formula units
crystal system = tetragonal
Fermi-level density of states = 4.204 states/eV per cell

a b c (Å): 3.764 3.764 7.100
angles (deg): 105.37 105.37 90.00
Fractional coordinates of all 3 atoms:
Cd  0.669  0.669  0.339
Pr  0.011  0.011  0.022
Pm  0.320  0.320  0.639


Below is a relaxed structure of Pm2Pr4Cd, with properties calculated at the GGA-PBE level.

Summary:
energy of formation from the pure elements = 17 kJ/mol of formula units
crystal system = monoclinic
Fermi-level density of states = 8.785 states/eV per cell

a b c (Å): 3.605 8.777 8.735
angles (deg): 116.60 101.91 90.00
Fractional coordinates of all 7 atoms:
Pr  0.628  0.384  0.257
Pm  0.783  0.861  0.566
Pr  0.082  0.702  0.164
Pm  0.217  0.139  0.434
Pr  0.372  0.616  0.743
Cd  0.000  0.000  0.000
Pr  0.918  0.298  0.836


Below is a relaxed structure of Pm12PrCd3, with properties calculated at the GGA-PBE level.

Summary:
energy of formation from the pure elements = -102 kJ/mol of formula units
crystal system = tetragonal
Fermi-level density of states = 24.696 states/eV per cell

a b c (Å): 4.988 4.988 20.249
angles (deg): 90.00 90.00 90.00
Fractional coordinates of all 16 atoms:
Pm  0.000  0.500  0.378
Pm  0.000  0.500  0.868
Pm  0.000  0.500  0.622
Pr  0.000  0.000  0.000
Cd  0.000  0.000  0.500
Pm  0.500  0.000  0.132
Pm  0.500  0.500  0.744
Pm  0.500  0.000  0.378
Pm  0.000  0.500  0.132
Cd  0.000  0.000  0.258
Pm  0.500  0.500  0.500
Pm  0.500  0.000  0.622
Pm  0.500  0.500  0.256
Cd  0.000  0.000  0.742
Pm  0.500  0.500  0.000
Pm  0.500  0.000  0.868


Below is a relaxed structure of Pm6Pr3Cd, with properties calculated at the GGA-PBE level.

Summary:
energy of formation from the pure elements = -22 kJ/mol of formula units
crystal system = monoclinic
Fermi-level density of states = 30.516 states/eV per cell

a b c (Å): 5.235 11.091 11.610
angles (deg): 93.43 90.00 90.00
Fractional coordinates of all 20 atoms:
Pm  0.250  0.155  0.178
Pm  0.750  0.777  0.512
Pm  0.750  0.342  0.294
Cd  0.750  0.058  0.387
Pm  0.750  0.958  0.114
Pm  0.750  0.845  0.822
Pm  0.250  0.873  0.323
Pm  0.750  0.127  0.677
Cd  0.250  0.942  0.613
Pr  0.250  0.342  0.788
Pm  0.250  0.223  0.488
Pm  0.250  0.450  0.100
Pr  0.750  0.447  0.595
Pr  0.250  0.553  0.405
Pm  0.750  0.550  0.900
Pr  0.750  0.658  0.212
Pr  0.250  0.756  0.015
Pm  0.250  0.658  0.706
Pr  0.750  0.244  0.985
Pm  0.250  0.042  0.886


Below is a relaxed structure of Pm8PrCd6, with properties calculated at the GGA-PBE level.

Summary:
energy of formation from the pure elements = -127 kJ/mol of formula units
crystal system = trigonal
Fermi-level density of states = 20.781 states/eV per cell

a b c (Å): 9.202 9.202 8.405
angles (deg): 56.81 56.81 60.00
Site moments in Bohr magnetons follow the coordinates.
Fractional coordinates of all 15 atoms:
Pm  0.215  0.881  0.353  0.09
Cd  0.714  0.386  0.850  0.00
Cd  0.614  0.950  0.150  0.00
Pm  0.785  0.119  0.647  0.09
Pm  0.667  0.667  0.999  0.05
Cd  0.950  0.286  0.150  0.00
Pr  0.000  0.000  0.000  0.06
Cd  0.050  0.714  0.850  0.00
Cd  0.286  0.614  0.150  0.00
Pm  0.551  0.215  0.353  0.09
Cd  0.386  0.050  0.850  0.00
Pm  0.449  0.785  0.647  0.09
Pm  0.119  0.449  0.647  0.09
Pm  0.333  0.333  0.001  0.05
Pm  0.881  0.551  0.353  0.09


Below is a relaxed structure of Pm3Pr5Cd12, with properties calculated at the GGA-PBE level.

Summary:
energy of formation from the pure elements = 419 kJ/mol of formula units
crystal system = cubic
Fermi-level density of states = 68.254 states/eV per cell

a b c (Å): 15.520 15.520 15.520
angles (deg): 109.47 109.47 109.47
Fractional coordinates of all 80 atoms:
Pr  0.000  0.500  0.000
Pr  0.625  0.750  0.875
Cd  0.651  0.076  0.231
Cd  0.151  0.420  0.075
Cd  0.920  0.845  0.769
Cd  0.425  0.076  0.345
Cd  0.420  0.269  0.345
Pr  0.500  0.000  0.000
Pm  0.375  0.625  0.250
Pr  0.000  0.500  0.500
Cd  0.231  0.655  0.080
Cd  0.924  0.575  0.155
Pm  0.250  0.125  0.375
Pr  0.500  0.500  0.000
Pr  0.500  0.500  0.500
Cd  0.425  0.349  0.580
Pr  0.875  0.250  0.625
Pr  0.625  0.875  0.250
Cd  0.925  0.845  0.576
Pr  0.000  0.000  0.000
Cd  0.269  0.420  0.845
Cd  0.349  0.425  0.080
Cd  0.076  0.425  0.845
Pm  0.125  0.250  0.875
Pr  0.250  0.875  0.125
Cd  0.924  0.349  0.269
Cd  0.269  0.849  0.924
Cd  0.349  0.924  0.769
Cd  0.769  0.424  0.349
Cd  0.655  0.424  0.575
Cd  0.155  0.080  0.731
Pm  0.625  0.375  0.750
Pm  0.125  0.875  0.750
Cd  0.076  0.651  0.731
Cd  0.920  0.075  0.651
Cd  0.151  0.731  0.576
Pr  0.375  0.125  0.750
Pm  0.875  0.750  0.125
Cd  0.345  0.769  0.420
Cd  0.575  0.651  0.420
Cd  0.576  0.345  0.925
Pr  0.750  0.625  0.375
Cd  0.845  0.925  0.076
Cd  0.424  0.769  0.849
Pm  0.875  0.125  0.250
Cd  0.849  0.580  0.925
Pm  0.625  0.250  0.375
Pr  0.250  0.375  0.625
Cd  0.655  0.231  0.580
Cd  0.731  0.151  0.076
Cd  0.575  0.924  0.655
Pr  0.500  0.000  0.500
Cd  0.075  0.155  0.424
Cd  0.080  0.155  0.231
Cd  0.845  0.920  0.269
Cd  0.424  0.655  0.075
Cd  0.080  0.925  0.349
Pr  0.375  0.250  0.125
Cd  0.769  0.345  0.920
Cd  0.651  0.575  0.920
Pr  0.875  0.625  0.750
Pm  0.750  0.375  0.125
Pm  0.750  0.875  0.625
Pr  0.125  0.375  0.250
Cd  0.075  0.920  0.151
Cd  0.731  0.580  0.155
Cd  0.580  0.731  0.655
Pr  0.000  0.000  0.500
Pr  0.125  0.750  0.375
Pm  0.375  0.750  0.625
Cd  0.345  0.576  0.425
Cd  0.849  0.269  0.424
Cd  0.231  0.576  0.651
Cd  0.155  0.075  0.924
Pr  0.750  0.125  0.875
Cd  0.420  0.151  0.575
Cd  0.925  0.080  0.849
Cd  0.576  0.231  0.151
Cd  0.580  0.849  0.425
Pm  0.250  0.625  0.875


Below is a relaxed structure of PmPr3Cd2, with properties calculated at the GGA-PBE level.

Summary:
energy of formation from the pure elements = -117 kJ/mol of formula units
crystal system = tetragonal
Fermi-level density of states = 7.007 states/eV per cell

a b c (Å): 3.806 3.806 13.014
angles (deg): 90.00 90.00 90.00
Site moments in Bohr magnetons follow the coordinates.
Fractional coordinates of all 6 atoms:
Pm  0.500  0.500  0.500  0.00
Pr  0.000  0.000  0.694  0.00
Pr  0.000  0.000  0.000  0.13
Pr  0.000  0.000  0.306  0.00
Cd  0.500  0.500  0.154  0.00
Cd  0.500  0.500  0.846  0.00


Below is a relaxed structure of PmPr2Cd2, with properties calculated at the GGA-PBE level.

Summary:
energy of formation from the pure elements = 12 kJ/mol of formula units
crystal system = orthorhombic
Fermi-level density of states = 12.729 states/eV per cell

a b c (Å): 6.252 9.560 8.023
angles (deg): 126.57 112.93 90.00
Site moments in Bohr magnetons follow the coordinates.
Fractional coordinates of all 10 atoms:
Pr  0.879  0.768  0.758  0.01
Cd  0.639  0.375  0.277  0.00
Cd  0.361  0.625  0.723  0.00
Pm  0.250  0.500  0.000  0.11
Pr  0.379  0.990  0.758  0.01
Pr  0.121  0.232  0.242  0.01
Pm  0.750  0.500  0.000  0.11
Pr  0.621  0.010  0.242  0.01
Cd  0.861  0.098  0.723  0.00
Cd  0.139  0.902  0.277  0.00


Below is a relaxed structure of Pm7Pr12Cd, with properties calculated at the GGA-PBE level.

Summary:
energy of formation from the pure elements = 297 kJ/mol of formula units
crystal system = trigonal
Fermi-level density of states = 33.790 states/eV per cell

a b c (Å): 8.907 8.907 8.907
angles (deg): 88.40 88.40 88.40
Fractional coordinates of all 20 atoms:
Pr  0.738  0.869  0.253
Pr  0.386  0.860  0.504
Pm  0.500  0.500  0.500
Pm  0.928  0.854  0.613
Pr  0.253  0.738  0.869
Pm  0.854  0.613  0.928
Pr  0.140  0.496  0.614
Pr  0.262  0.131  0.747
Pm  0.072  0.146  0.387
Pr  0.860  0.504  0.386
Pr  0.496  0.614  0.140
Pr  0.131  0.747  0.262
Cd  0.000  0.000  0.000
Pm  0.146  0.387  0.072
Pr  0.504  0.386  0.860
Pr  0.614  0.140  0.496
Pr  0.869  0.253  0.738
Pr  0.747  0.262  0.131
Pm  0.613  0.928  0.854
Pm  0.387  0.072  0.146


Below is a relaxed structure of Pm6PrCd, with properties calculated at the GGA-PBE level.

Summary:
energy of formation from the pure elements = 21 kJ/mol of formula units
crystal system = monoclinic
Fermi-level density of states = 11.041 states/eV per cell

a b c (Å): 6.484 6.484 9.995
angles (deg): 121.19 121.19 95.37
Fractional coordinates of all 8 atoms:
Pm  0.754  0.134  0.282
Pm  0.134  0.754  0.282
Pm  0.543  0.543  0.201
Pm  0.457  0.457  0.799
Pm  0.246  0.866  0.718
Pr  0.000  0.000  0.000
Cd  0.500  0.500  0.500
Pm  0.866  0.246  0.718


Below is a relaxed structure of Pm4Pr3Cd4, with properties calculated at the GGA-PBE level.

Summary:
energy of formation from the pure elements = -110 kJ/mol of formula units
crystal system = orthorhombic
Fermi-level density of states = 13.887 states/eV per cell

a b c (Å): 5.432 7.115 9.990
angles (deg): 110.86 105.77 90.00
Fractional coordinates of all 11 atoms:
Pm  0.680  0.916  0.361
Pr  0.899  0.899  0.797
Cd  0.825  0.325  0.649
Pr  0.000  0.500  0.000
Cd  0.175  0.675  0.351
Pm  0.320  0.555  0.639
Pr  0.101  0.101  0.203
Cd  0.500  0.206  0.000
Pm  0.680  0.445  0.361
Cd  0.500  0.794  0.000
Pm  0.320  0.084  0.639


Below is a relaxed structure of PmPr3Cd8, with properties calculated at the GGA-PBE level.

Summary:
energy of formation from the pure elements = -355 kJ/mol of formula units
crystal system = trigonal
Fermi-level density of states = 7.625 states/eV per cell

a b c (Å): 6.031 6.031 10.396
angles (deg): 73.14 73.14 60.00
Fractional coordinates of all 12 atoms:
Cd  0.688  0.688  0.937
Pr  0.500  0.500  0.501
Pm  0.876  0.876  0.373
Cd  0.438  0.938  0.687
Cd  0.188  0.188  0.437
Pr  0.375  0.375  0.874
Pr  0.000  0.000  0.001
Cd  0.437  0.437  0.188
Cd  0.437  0.937  0.188
Cd  0.937  0.437  0.188
Cd  0.938  0.438  0.687
Cd  0.938  0.938  0.687


Below is a relaxed structure of Pm4PrCd2, with properties calculated at the GGA-PBE level.

Summary:
energy of formation from the pure elements = -94 kJ/mol of formula units
crystal system = orthorhombic
Fermi-level density of states = 15.043 states/eV per cell

a b c (Å): 5.537 5.537 16.489
angles (deg): 90.00 90.00 119.97
Fractional coordinates of all 14 atoms:
Pm  0.167  0.833  0.641
Cd  0.834  0.166  0.558
Pm  0.166  0.834  0.250
Cd  0.166  0.834  0.442
Pr  0.499  0.501  0.250
Pm  0.500  0.500  0.500
Cd  0.166  0.834  0.058
Pm  0.500  0.500  0.000
Pm  0.834  0.166  0.750
Pm  0.833  0.167  0.359
Cd  0.834  0.166  0.942
Pr  0.501  0.499  0.750
Pm  0.167  0.833  0.859
Pm  0.833  0.167  0.141